Entry 1:
Density functional theory data (PBE-GGA) for crystalline Nd2YScBi4 at its relaxed geometry.

**Density of states at the Fermi level**: 0.17 states/eV/atom
**Crystal system**: monoclinic
**Formation energy**: -850 meV/atom

abc: 7.7731 4.5042 7.7976
angles: 90.00 109.54 90.00
Last column: nearest neighbours and their distance in Å.
Atoms (fractional coordinates):
Nd 0.0000 0.0000 0.0000  6 Bi 3.22
Nd 0.0000 0.5000 0.5000  6 Bi 3.28
Y 0.5000 0.0000 0.5000  6 Bi 3.15
Sc 0.5000 0.5000 0.0000  6 Bi 3.08-3.09
Bi 0.2632 0.5000 0.2478  1 Sc 3.08, 2 Y 3.15, 3 Nd 3.22-3.28
Bi 0.2680 0.0000 0.7625  2 Sc 3.09, 1 Y 3.15, 3 Nd 3.22-3.28
Bi 0.7320 0.0000 0.2375  2 Sc 3.09, 1 Y 3.15, 3 Nd 3.22-3.28
Bi 0.7368 0.5000 0.7522  1 Sc 3.08, 2 Y 3.15, 3 Nd 3.22-3.28

***

Entry 2:
Density functional theory data (PBE-GGA) for crystalline LiCu2As at its relaxed geometry.

**Density of states at the Fermi level**: 0.17 states/eV/atom
**Crystal system**: tetragonal
**Formation energy**: -188 meV/atom

abc: 4.4310 4.4310 4.4310
angles: 127.39 127.39 77.62
Last column: nearest neighbours and their distance in Å.
Atoms (fractional coordinates):
Li 0.0000 0.0000 0.0000  8 Cu 2.61, 4 As 2.78
Cu 0.2500 0.7500 0.5000  4 As 2.61, 4 Li 2.61, 4 Cu 2.78
Cu 0.7500 0.2500 0.5000  4 As 2.61, 4 Li 2.61, 4 Cu 2.78
As 0.5000 0.5000 0.0000  8 Cu 2.61, 4 Li 2.78

***

Entry 3:
Density functional theory data (PBE-GGA) for crystalline Fe3Pd5Pt3 at its relaxed geometry.

**Density of states at the Fermi level**: 0.86 states/eV/atom
**Crystal system**: hexagonal
**Formation energy**: 199 meV/atom

abc: 8.7147 8.7147 2.7357
angles: 90.00 90.00 120.00
Last column: nearest neighbours and their distance in Å.
Atoms (fractional coordinates):
Fe 0.0000 0.4152 0.0000  2 Pd 2.47, 2 Pt 2.49, 2 Fe 2.74
Fe 0.4152 0.0000 0.0000  2 Pd 2.47, 2 Pt 2.49, 2 Fe 2.74
Fe 0.5848 0.5848 0.0000  2 Pd 2.47, 2 Pt 2.49, 2 Fe 2.74
Pd 0.0000 0.6506 0.5000  2 Fe 2.47, 2 Pt 2.64, 2 Pd 2.74
Pd 0.3333 0.6667 0.5000  5 Pd 2.74-2.84, 6 Fe 2.96
Pd 0.3494 0.3494 0.5000  2 Fe 2.47, 2 Pt 2.64, 2 Pd 2.74
Pd 0.6506 0.0000 0.5000  2 Fe 2.47, 2 Pt 2.64, 2 Pd 2.74
Pd 0.6667 0.3333 0.5000  5 Pd 2.74-2.84, 6 Fe 2.96
Pt 0.0000 0.1769 0.5000  2 Fe 2.49, 2 Pd 2.64, 4 Pt 2.67-2.74
Pt 0.1769 0.0000 0.5000  2 Fe 2.49, 2 Pd 2.64, 4 Pt 2.67-2.74
Pt 0.8231 0.8231 0.5000  2 Fe 2.49, 2 Pd 2.64, 4 Pt 2.67-2.74

***

Entry 4:
Density functional theory data (PBE-GGA) for crystalline Sm2TlO5 at its relaxed geometry.

**Density of states at the Fermi level**: 0.87 states/eV/atom
**Crystal system**: orthorhombic
**Formation energy without anion corrections**: -2.191 eV/atom

abc: 6.2709 6.2709 11.4047
angles: 90.00 90.00 139.50
Last column: nearest neighbours and their distance in Å.
Atoms (fractional coordinates):
Sm 0.1427 0.8573 0.5688  6 O 2.26-2.43
Sm 0.1427 0.8573 0.9312  6 O 2.26-2.43
Sm 0.8573 0.1427 0.0688  6 O 2.26-2.43
Sm 0.8573 0.1427 0.4312  6 O 2.26-2.43
Tl 0.1731 0.8269 0.2500  6 O 2.19-2.36
Tl 0.8269 0.1731 0.7500  6 O 2.19-2.36
O 0.0453 0.9547 0.1104  1 Tl 2.19, 2 Sm 2.26-2.34
O 0.0453 0.9547 0.3896  1 Tl 2.19, 2 Sm 2.26-2.34
O 0.2471 0.7529 0.7500  2 Tl 2.36, 2 Sm 2.40
O 0.2887 0.7113 0.0813  3 Sm 2.32-2.43, 1 Tl 2.36
O 0.2887 0.7113 0.4187  3 Sm 2.32-2.43, 1 Tl 2.36
O 0.7113 0.2887 0.5813  3 Sm 2.32-2.43, 1 Tl 2.36
O 0.7113 0.2887 0.9187  3 Sm 2.32-2.43, 1 Tl 2.36
O 0.7529 0.2471 0.2500  2 Tl 2.36, 2 Sm 2.40
O 0.9547 0.0453 0.6104  1 Tl 2.19, 2 Sm 2.26-2.34
O 0.9547 0.0453 0.8896  1 Tl 2.19, 2 Sm 2.26-2.34